Entry 1:
The following is a DFT calculation (PBE-GGA) of crystalline BeReHg2 at its relaxed geometry.

a b c (Å): 3.8775 3.8775 19.4855
angles (deg): 90.00 90.00 90.00
Last column: nearest neighbours and their distance in Å.
Space group I-42d (No. 122)
Symmetry-distinct sites (fractional):
Be 0.0000 0.0000 0.0000  4 Re 2.74, 4 Hg 2.79
Re 0.0000 0.0000 0.5000  4 Be 2.74, 4 Hg 2.80
Hg 0.2484 0.2500 0.1250  4 Hg 2.73-2.75, 2 Be 2.79, 2 Re 2.80

Results
The calculation puts the energy of formation from the pure elements at 4.5 eV per formula unit. The theoretical density is 13.52 Mg/m³. The calculation puts the energy at -3.065 eV/atom. The total magnetization is 0.00 μB/f.u.


Entry 2:
The following is a DFT calculation (PBE-GGA) of crystalline CrHg2Ir at its relaxed geometry.

a b c (Å): 2.8643 2.8643 30.2471
angles (deg): 90.00 90.00 120.00
Last column: nearest neighbours and their distance in Å.
Space group R3m (No. 160, hexagonal axes)
Symmetry-distinct sites (fractional):
Cr 0.0000 0.0000 0.0000  3 Ir 2.50
Hg 0.0000 0.0000 0.5177  6 Hg 2.86, 3 Ir 3.11
Hg 0.0000 0.0000 0.7464  6 Hg 2.86, 3 Cr 2.92
Ir 0.0000 0.0000 0.2716  3 Cr 2.50

Results
The calculation puts the energy of formation from the pure elements at 1.4 eV per formula unit. The theoretical density is 14.96 Mg/m³. As for the polymorph energy (0 for the lowest one): 126 meV/atom. The calculation puts the energy at -4.423 eV/atom. The total magnetization is 0.00 μB/f.u.


Entry 3:
The following is a DFT calculation (PBE-GGA) of crystalline ZrNp3Pa2N6 at its relaxed geometry.

a b c (Å): 5.9603 10.3245 5.9526
angles (deg): 90.00 109.53 90.00
Last column: nearest neighbours and their distance in Å.
Space group C2/m (No. 12)
Symmetry-distinct sites (fractional):
Zr 0.0000 0.0000 0.0000  6 N 2.36-2.37
Np 0.0000 0.1660 0.5000  6 N 2.43-2.50
Np 0.0000 0.5000 0.5000  6 N 2.44-2.50
Pa 0.0000 0.3334 0.0000  6 N 2.43
N 0.2431 0.1624 0.2421  1 Zr 2.36, 2 Pa 2.43, 3 Np 2.44-2.50
N 0.2436 0.0000 0.7567  1 Zr 2.37, 3 Np 2.43-2.50, 2 Pa 2.43

Results
The theoretical density is 12.97 Mg/m³. The raw formation energy is -1.390 eV per atom. The calculation puts the energy at -11.083 eV/atom. The total magnetization is 10.03 μB/f.u.